This record from Alexandria via LeMat-Bulk describes crystalline Ba6Li7 at its relaxed geometry. The functional is PBE-GGA.

The space group is R-3m (No. 166, hexagonal axes) and the conventional cell measures 6.9210, 6.9210 and 37.8552 Å, with angles of 90.00, 90.00 and 120.00 degrees. The asymmetric unit holds Ba at (0.0000, 0.0000, 0.0530), Ba at (0.0000, 0.0000, 0.1560), Ba at (0.0000, 0.0000, 0.3275), Li at (0.0000, 0.0000, 0.5000) and Li at (0.0194, 0.5097, 0.0966).

Its formation energy is 58 meV/atom. The calculation puts the total energy at -72.5 eV for the cell shown.